No. 1
Entry from the Alexandria database: crystalline Ba2Os3 at its relaxed geometry (GGA-PBEsol).

The structure in CIF format:
```
data_Ba2Os3
_space_group_name_H-M_alt 'P -3 m 1'
_space_group_IT_number 164
_space_group_name_Hall '-P 3 2"'
_cell_length_a 3.9744
_cell_length_b 3.9744
_cell_length_c 10.3564
_cell_angle_alpha 90.00
_cell_angle_beta 90.00
_cell_angle_gamma 120.00
loop_
_atom_site_label
_atom_site_fract_x
_atom_site_fract_y
_atom_site_fract_z
_atom_site_occupancy
Ba1 0.3333 0.6667 0.2908 1
Os1 0.0000 0.0000 0.5000 1
Os2 0.3333 0.6667 0.9764 1
```

---

No. 2
Entry from the Alexandria database: crystalline BaOs4 at its relaxed geometry (GGA-PBEsol).

The structure in CIF format:
```
data_BaOs4
_space_group_name_H-M_alt 'I 4/m m m'
_space_group_IT_number 139
_space_group_name_Hall '-I 4 2'
_cell_length_a 4.290
_cell_length_b 4.290
_cell_length_c 10.498
_cell_angle_alpha 90.00
_cell_angle_beta 90.00
_cell_angle_gamma 90.00
loop_
_atom_site_label
_atom_site_fract_x
_atom_site_fract_y
_atom_site_fract_z
_atom_site_occupancy
Ba1 0.000 0.000 0.000 1
Os1 0.000 0.000 0.381 1
Os2 0.000 0.500 0.250 1
```

---

No. 3
Entry from the Alexandria database: crystalline BaOs at its relaxed geometry (GGA-PBEsol).

The structure in CIF format:
```
data_BaOs
_space_group_name_H-M_alt 'P m -3 m'
_space_group_IT_number 221
_space_group_name_Hall '-P 4 2 3'
_cell_length_a 3.683
_cell_length_b 3.683
_cell_length_c 3.683
_cell_angle_alpha 90.00
_cell_angle_beta 90.00
_cell_angle_gamma 90.00
loop_
_atom_site_label
_atom_site_fract_x
_atom_site_fract_y
_atom_site_fract_z
_atom_site_occupancy
Ba1 0.000 0.000 0.000 1
Os1 0.500 0.500 0.500 1
```

---

No. 4
Entry from the Alexandria database: crystalline BaPOs2 at its relaxed geometry (GGA-PBEsol).

The structure in CIF format:
```
data_BaPOs2
_space_group_name_H-M_alt 'P 4 m m'
_space_group_IT_number 99
_cell_length_a 3.023
_cell_length_b 3.023
_cell_length_c 7.973
_cell_angle_alpha 90.00
_cell_angle_beta 90.00
_cell_angle_gamma 90.00
loop_
_space_group_symop_operation_xyz
'x,y,z'
'-y,x,z'
'-x,-y,z'
'y,-x,z'
'-x,y,z'
'y,x,z'
'x,-y,z'
'-y,-x,z'
loop_
_atom_site_label
_atom_site_fract_x
_atom_site_fract_y
_atom_site_fract_z
_atom_site_occupancy
Ba1 0.000 0.000 0.000 1
P1 0.500 0.500 0.679 1
Os1 0.000 0.000 0.519 1
Os2 0.500 0.500 0.313 1
```

---

No. 5
Entry from the Alexandria database: crystalline BaP4Os at its relaxed geometry (GGA-PBEsol).

The structure in CIF format:
```
data_BaP4Os
_space_group_name_H-M_alt 'F -4 3 m'
_space_group_IT_number 216
_space_group_name_Hall 'F -4 2 3'
_cell_length_a 7.735
_cell_length_b 7.735
_cell_length_c 7.735
_cell_angle_alpha 90.00
_cell_angle_beta 90.00
_cell_angle_gamma 90.00
loop_
_atom_site_label
_atom_site_fract_x
_atom_site_fract_y
_atom_site_fract_z
_atom_site_occupancy
Ba1 0.000 0.000 0.000 1
P1 0.104 0.104 0.604 1
Os1 0.250 0.250 0.250 1
```

---

No. 6
Entry from the Alexandria database: crystalline BaP2Os at its relaxed geometry (GGA-PBEsol).

The structure in CIF format:
```
data_BaP2Os
_space_group_name_H-M_alt 'I -4 m 2'
_space_group_IT_number 119
_space_group_name_Hall 'I -4 -2'
_cell_length_a 4.316
_cell_length_b 4.316
_cell_length_c 8.272
_cell_angle_alpha 90.00
_cell_angle_beta 90.00
_cell_angle_gamma 90.00
loop_
_atom_site_label
_atom_site_fract_x
_atom_site_fract_y
_atom_site_fract_z
_atom_site_occupancy
Ba1 0.000 0.000 0.000 1
P1 0.000 0.000 0.500 1
P2 0.000 0.500 0.750 1
Os1 0.000 0.500 0.250 1
```

offset from the most stable computed form: 526 meV/atom

---

Number 1: total moment 0.001 μB/cell, E_form 27.82 kcal/mol of atoms. Number 2: total moment 0.001 μB/cell, E_form 15.54 kcal/mol of atoms. Number 3: total moment 0.806 μB/cell, E_form 37.42 kcal/mol of atoms. Number 4: total moment 0.000 μB/cell, E_form 8.40 kcal/mol of atoms. Number 5: total moment 8.017 μB/cell, E_form 15.25 kcal/mol of atoms. Number 6: total moment 0.002 μB/cell, E_form 21.22 kcal/mol of atoms.